Rb2Ce2FeS6 | Alexandria via LeMat-Bulk | PBE | relaxed; formation energy without anion corrections = -14.22 eV per formula unit; crystal system = monoclinic
1.0
6.6197 0.0571 0.0409
-3.2222 5.7828 0.0409
-1.2328 -2.1190 7.8535
Ce S Rb Fe
2 6 2 1
Direct
0.3322 0.6678 0.5000 Ce
0.6678 0.3322 0.5000 Ce
0.6403 0.9339 0.3191 S
0.3597 0.0661 0.6809 S
0.9339 0.6403 0.3191 S
0.0661 0.3597 0.6809 S
0.7732 0.7732 0.6776 S
0.2268 0.2268 0.3224 S
0.8258 0.1742 0.0000 Rb
0.1742 0.8258 0.0000 Rb
0.0000 0.0000 0.5000 Fe

---

ZnAuSeN2 | Alexandria via LeMat-Bulk | PBE | relaxed; formation energy without anion corrections = 7.57 eV per formula unit; crystal system = tetragonal
1.0
3.9019 0.0000 0.0000
0.0000 3.9019 0.0000
0.0000 0.0000 7.5873
Se N Zn Au
1 2 1 1
Direct
0.0000 0.0000 0.5000 Se
0.0000 0.5000 0.0000 N
0.5000 0.0000 0.0000 N
0.5000 0.5000 0.5000 Zn
0.0000 0.0000 0.0000 Au

---

Pu6Pd3Pt | Alexandria via LeMat-Bulk | PBE | relaxed; crystal system = monoclinic; calculated formation energy = -2.88 eV/f.u.
1.0
8.5117 0.0000 1.3647
0.0000 5.7402 0.0000
1.4914 0.0000 9.5525
Pu Pd Pt
12 6 2
Direct
0.1572 0.5075 0.0307 Pu
0.3663 0.2570 0.7767 Pu
0.6337 0.7430 0.2233 Pu
0.2068 0.4795 0.3852 Pu
0.7932 0.5205 0.6148 Pu
0.7068 0.0205 0.8852 Pu
0.1337 0.7570 0.7233 Pu
0.8428 0.4925 0.9693 Pu
0.2932 0.9795 0.1148 Pu
0.3428 0.0075 0.4693 Pu
0.8663 0.2430 0.2767 Pu
0.6572 0.9925 0.5307 Pu
0.5509 0.2372 0.2166 Pd
0.0509 0.2628 0.7166 Pd
0.5000 0.5000 0.0000 Pd
0.9491 0.7372 0.2834 Pd
0.4491 0.7628 0.7834 Pd
0.0000 0.0000 0.5000 Pd
0.5000 0.5000 0.5000 Pt
0.0000 0.0000 0.0000 Pt

---

HfTiIn2 | Alexandria via LeMat-Bulk | PBE | relaxed; crystal system = tetragonal; calculated formation energy = -0.59 eV/f.u.
1.0
-2.7531 -1.6921 2.9444
3.3527 -1.1202 2.4911
-0.2097 3.8269 2.0031
In Hf Ti
2 1 1
Direct
0.0000 0.5000 0.0000 In
0.0000 0.0000 0.5000 In
0.5000 0.5000 0.5000 Hf
0.5000 0.0000 0.0000 Ti

---

Re2BIr | Alexandria via LeMat-Bulk | PBE | relaxed; crystal system = tetragonal; calculated formation energy = 3.32 eV/f.u.
1.0
3.8044 0.0000 0.0000
0.0000 3.8044 0.0000
1.9022 1.9022 8.1982
B Re Ir
2 4 2
Direct
0.5000 0.5000 0.0000 B
0.2500 0.7500 0.5000 B
0.8750 0.8196 0.7500 Re
0.5696 0.1250 0.2500 Re
0.1804 0.6250 0.2500 Re
0.3750 0.4304 0.7500 Re
0.7500 0.2500 0.5000 Ir
0.0000 0.0000 0.0000 Ir

---

Mg2CdGa6 | Alexandria via LeMat-Bulk | PBE | relaxed; crystal system = monoclinic; calculated formation energy = -0.13 eV/f.u.
1.0
3.2549 0.0000 0.0882
0.0000 9.1325 0.0000
-0.9842 -4.5662 6.1628
Ga Mg Cd
6 2 1
Direct
0.9770 0.0878 0.7041 Ga
0.5000 0.3602 0.0000 Ga
0.0230 0.3837 0.2959 Ga
0.9770 0.6163 0.7041 Ga
0.5000 0.6398 0.0000 Ga
0.0230 0.9122 0.2959 Ga
0.4991 0.2652 0.5304 Mg
0.5009 0.7348 0.4696 Mg
0.0000 0.0000 0.0000 Cd

---

How do the records compare in magnetization? In the order shown, they have 0.1, 3.3, 34.6, 0.0, 0.0, 0.0 μB/f.u..